Sr3Tm3MgSe8 PBE-GGA optimized geometry; E = -5.0126 eV/atom; magnetic moment = 0.00 μB/atom; N(E_F) = 3.886 states/eV/f.u.; space group = R-3m; energy relative to the elements, uncorrected = -1.82 eV per atom
1.0
4.1191 2.3782 7.0953
-4.1191 2.3782 7.0953
0.0000 -4.7563 7.0953
Sr Tm Mg Se
3 3 1 8
Direct
0.0000 0.5000 0.5000 Sr
0.5000 0.0000 0.5000 Sr
0.5000 0.5000 0.0000 Sr
0.0000 0.0000 0.5000 Tm
0.0000 0.5000 0.0000 Tm
0.5000 0.0000 0.0000 Tm
0.5000 0.5000 0.5000 Mg
0.2421 0.2421 0.2421 Se
0.2421 0.7384 0.7384 Se
0.2616 0.2616 0.7579 Se
0.2616 0.7579 0.2616 Se
0.7384 0.2421 0.7384 Se
0.7384 0.7384 0.2421 Se
0.7579 0.2616 0.2616 Se
0.7579 0.7579 0.7579 Se